No. 1
KIn12Sn7, optimized geometry, DFT PBE; calculated formation energy = 0.107 eV per atom; total magnetization = 0.000 μB/cell; space group = Im-3, No. 204
1.0
-0.772 9.586 0.616
-8.797 -3.908 -0.461
4.604 -3.358 7.771
In Sn K
12 7 1
Direct
0.649 0.234 0.882
0.351 0.766 0.118
0.766 0.118 0.351
0.415 0.649 0.766
0.649 0.766 0.415
0.234 0.882 0.649
0.118 0.351 0.766
0.351 0.234 0.585
0.234 0.585 0.351
0.766 0.415 0.649
0.585 0.351 0.234
0.882 0.649 0.234
0.000 0.000 0.500
0.500 0.500 0.500
0.500 0.000 0.500
0.500 0.500 0.000
0.000 0.500 0.500
0.000 0.500 0.000
0.500 0.000 0.000
0.000 0.000 0.000


No. 2
KNpAlS4, optimized geometry, DFT PBE; formation energy without anion corrections = -1229 meV/atom; total magnetization = 6.000 μB/cell; space group = P2_1/m, No. 11
1.0
6.503 0.000 -0.074
0.000 6.605 0.000
-2.646 0.000 8.413
Al S Np K
2 8 2 2
Direct
0.765 0.250 0.667
0.235 0.750 0.333
0.007 0.505 0.702
0.560 0.250 0.826
0.993 0.495 0.298
0.540 0.250 0.417
0.460 0.750 0.583
0.007 0.995 0.702
0.993 0.005 0.298
0.440 0.750 0.174
0.223 0.250 0.551
0.777 0.750 0.449
0.267 0.250 0.058
0.733 0.750 0.942


No. 3
LaYMg2, optimized geometry, DFT PBE; calculated formation energy = 0.097 eV per atom; total magnetization = 0.269 μB/cell; space group = F-43m, No. 216
1.0
5.490 0.000 0.000
2.745 4.755 0.000
2.745 1.585 4.483
Mg Y La
2 1 1
Direct
0.000 0.000 0.000
0.250 0.250 0.250
0.750 0.750 0.750
0.500 0.500 0.500


No. 4
SbPt14Rh, optimized geometry, DFT PBE; formation energy without anion corrections = -36 meV/atom; total magnetization = 0.000 μB/cell; space group = Amm2, No. 38
1.0
5.603 -0.356 0.000
-2.523 5.016 0.000
0.000 0.000 9.359
Pt Sb Rh
14 1 1
Direct
0.707 0.793 0.000
0.875 0.125 0.749
0.544 0.956 0.500
0.374 0.626 0.248
0.044 0.456 0.500
0.373 0.124 0.251
0.875 0.125 0.251
0.373 0.124 0.749
0.876 0.627 0.749
0.207 0.793 0.000
0.707 0.293 0.000
0.374 0.626 0.752
0.876 0.627 0.251
0.207 0.293 0.000
0.543 0.457 0.500
0.043 0.957 0.500


No. 5
Gd2LuGa, optimized geometry, DFT PBE; calculated formation energy = 0.144 eV per atom; total magnetization = 14.811 μB/cell; space group = R-3m, No. 166
1.0
3.464 0.000 0.000
1.732 3.000 0.000
1.732 1.000 11.678
Gd Ga Lu
2 1 1
Direct
0.086 0.086 0.741
0.914 0.914 0.259
0.000 0.000 0.000
0.500 0.500 0.500


No. 6
Zn4ReOs, optimized geometry, DFT PBE; calculated formation energy = 0.334 eV per atom; total magnetization = 0.000 μB/cell; space group = F-43m, No. 216
1.0
0.000 3.442 3.442
3.442 0.000 3.442
3.442 3.442 0.000
Zn Os Re
4 1 1
Direct
0.625 0.124 0.625
0.625 0.625 0.124
0.625 0.625 0.625
0.124 0.625 0.625
0.250 0.250 0.250
0.000 0.000 0.000